w.
Density functional theory data (PBE) for a geometry-optimized LiTlTc2 structure.

As for the space-group type: No. 166.

```
LiTlTc2
1.0
1.4371 0.8297 9.4686
-1.4371 0.8297 9.4686
0.0000 -1.6595 9.4686
Li Tl Tc
1 1 2
direct
0.0000 0.0000 0.0000
0.5000 0.5000 0.5000
0.2520 0.2520 0.2520
0.7480 0.7480 0.7480
```

x.
Density functional theory data (PBE) for a geometry-optimized LiTlTc2 structure.

As for the space-group type: No. 123.

```
LiTlTc2
1.0
3.3237 0.0000 0.0000
0.0000 3.3237 0.0000
0.0000 0.0000 5.8454
Li Tl Tc
1 1 2
direct
0.0000 0.0000 0.0000
0.0000 0.0000 0.5000
0.5000 0.5000 0.1936
0.5000 0.5000 0.8064
```

The structure with the least stability is w.